This record from the Alexandria database describes an optimized crystal structure of BeIr2Os. The functional is PBE.

Unit cell a=2.7312 b=3.8755 c=5.2042 alpha=90.00 beta=105.09 gamma=90.00
With the nearest neighbours (Å) after each atom.
Space group Pm (No. 6)
One atom of each set of equivalent atoms:
1 Be 0.0000 0.0000 0.0000 x1  5 Ir 2.34-2.49, 2 Os 2.47
2 Ir 0.2284 0.0000 0.4651 x1  1 Be 2.34
3 Ir 0.5691 0.5000 0.1478 x1  4 Be 2.48-2.49, 3 Os 2.65-2.75, 2 Ir 2.73
4 Os 0.8437 0.5000 0.6958 x1  2 Be 2.47, 7 Ir 2.64-2.75, 2 Os 2.73

Summary:
Energy = -32.9 eV per cell
ΔE_f = -0.2 eV/f.u.